# 1
Entry from Alexandria: a relaxed Th3B2AsIr9 crystal (GGA-PBE).

Computed properties:
- DFT total energy: -128.82 eV/cell
- DFT formation energy: -8.8 eV/f.u.

Lattice parameters (Å, degrees): 5.8444 5.8444 8.8089 90.00 90.00 120.00
Space group P-3m1 (No. 164)
One atom of each set of equivalent atoms:
Th  0.0000  0.0000  0.0000
Th  0.3333  0.6667  0.6241
B  0.3333  0.6667  0.1494
As  0.0000  0.0000  0.5000
Ir  0.0000  0.5000  0.0000
Ir  0.1640  0.3280  0.2859


# 2
Entry from Alexandria: a relaxed SrSe2Cl crystal (GGA-PBE).

Computed properties:
- DFT total energy: -54.55 eV/cell
- Formation energy without anion corrections: -0.785 eV per atom

Lattice parameters (Å, degrees): 7.443 7.443 7.443 90.00 90.00 90.00
Space group F-43m (No. 216)
One atom of each set of equivalent atoms:
Sr  0.000  0.000  0.000
Se  0.000  0.000  0.500
Se  0.250  0.250  0.250
Cl  0.250  0.250  0.750


- The highest DFT total energy belongs to which entry?
  SrSe2Cl


- Which formula does entry 2 have?
  SrSe2Cl


- Which of these has the lowest DFT total energy?
  Th3B2AsIr9


- Which of these has the highest DFT total energy?
  SrSe2Cl